6
Lattice="0.0000 4.1643 4.1643 4.1643 0.0000 4.1643 4.1643 4.1643 0.0000" Properties=species:S:1:pos:R:3 comment="Y4TcW | Alexandria via LeMat-Bulk | PBE | optimized geometry" m_tot_mub_per_fu=0.00 e_form_mev_per_atom=1256 dos_ef_per_ev_cell=10.58 pbc="T T T"
Y 5.2064 5.2064 3.1222
Y 5.2064 3.1222 5.2064
Y 3.1222 3.1222 3.1222
Y 3.1222 5.2064 5.2064
W 0.0000 0.0000 0.0000
Tc 6.2465 6.2465 6.2465